Run 1
Compound: Rb2TiBr4
Source: Alexandria via LeMat-Bulk
Functional: PBE
Structure: relaxed

Structure (POSCAR):
```
Rb2TiBr4
1.0
5.318 0.000 0.000
0.000 5.318 0.000
0.000 0.000 17.335
Rb Ti Br
4 2 8
direct
0.000 0.000 0.142
0.000 0.000 0.858
0.500 0.500 0.358
0.500 0.500 0.642
0.000 0.000 0.500
0.500 0.500 0.000
0.000 0.000 0.342
0.000 0.000 0.658
0.000 0.500 0.000
0.000 0.500 0.500
0.500 0.000 0.000
0.500 0.000 0.500
0.500 0.500 0.158
0.500 0.500 0.842
```

Calculated values
V	490	Å³/cell
DOS(E_F)	4.242	states/eV/f.u.

Run 2
Compound: Rb2TiBr4
Source: Alexandria via LeMat-Bulk
Functional: PBE
Structure: relaxed

Structure (POSCAR):
```
Rb2TiBr4
1.0
13.601 0.000 0.000
0.000 4.285 0.000
-3.957 0.000 8.032
Rb Ti Br
4 2 8
direct
0.162 0.000 0.176
0.338 0.500 0.824
0.662 0.500 0.176
0.838 0.000 0.824
0.000 0.500 0.500
0.500 0.000 0.500
0.056 0.500 0.829
0.139 0.000 0.548
0.361 0.500 0.452
0.444 0.000 0.171
0.556 0.000 0.829
0.639 0.500 0.548
0.861 0.000 0.452
0.944 0.500 0.171
```

Calculated values
V	468	Å³/cell
DOS(E_F)	4.901	states/eV/f.u.

run 1 comes first in stability; the runner-up is 26 meV per atom higher.